{
  "formula": "Pm3Si2Rh3",
  "functional": "PBE",
  "state": "optimized geometry",
  "lattice": [[5.687, 0.000, 0.000], [0.000, 7.706, 0.000], [0.000, 0.000, 14.931]],
  "species": ["Rh", "Rh", "Rh", "Rh", "Si", "Si", "Si", "Rh", "Rh", "Rh", "Pm", "Pm", "Pm", "Rh", "Pm", "Rh", "Si", "Si", "Pm", "Pm", "Pm", "Si", "Pm", "Si", "Rh", "Pm", "Pm", "Rh", "Rh", "Pm", "Pm", "Si"],
  "frac_coords": [[0.583, 0.319, 0.750], [0.102, 0.165, 0.963], [0.398, 0.665, 0.963], [0.102, 0.165, 0.537], [0.867, 0.125, 0.100], [0.367, 0.375, 0.600], [0.367, 0.375, 0.900], [0.602, 0.335, 0.037], [0.083, 0.181, 0.250], [0.602, 0.335, 0.463], [0.138, 0.473, 0.392], [0.362, 0.973, 0.108], [0.862, 0.527, 0.892], [0.898, 0.835, 0.463], [0.862, 0.527, 0.608], [0.417, 0.681, 0.250], [0.867, 0.125, 0.400], [0.633, 0.625, 0.100], [0.362, 0.973, 0.392], [0.114, 0.167, 0.750], [0.638, 0.027, 0.892], [0.633, 0.625, 0.400], [0.614, 0.333, 0.250], [0.133, 0.875, 0.900], [0.917, 0.819, 0.750], [0.138, 0.473, 0.108], [0.638, 0.027, 0.608], [0.398, 0.665, 0.537], [0.898, 0.835, 0.037], [0.386, 0.667, 0.750], [0.886, 0.833, 0.250], [0.133, 0.875, 0.600]],
  "mass_density_g_cm3": 8.119,
  "raw_formation_energy_ev_per_fu": -7.62,
  "n_ef_per_ev_cell": 17.35,
  "relative_energy_mev_per_atom": 0.0,
  "total_energy_ev_per_atom": -6.846,
  "vol_a3_per_fu": 163.6,
  "sg": "Pnma"
}


{
  "formula": "SrCdGeAu2",
  "functional": "PBE",
  "state": "optimized geometry",
  "lattice": [[-2.047, -1.928, -3.546], [-2.834, -2.133, 2.796], [-1.216, 6.483, 0.065]],
  "species": ["Au", "Ge", "Sr", "Cd", "Au"],
  "frac_coords": [[0.044, 0.044, 0.087], [0.824, 0.824, 0.649], [0.443, 0.443, 0.886], [0.190, 0.690, 0.380], [0.711, 0.211, 0.423]],
  "mass_density_g_cm3": 9.385,
  "n_ef_per_ev_cell": 2.02,
  "total_energy_ev_per_atom": -3.225,
  "vol_a3_per_fu": 117.9,
  "sg": "Imm2",
  "ef_mev_per_atom": -471
}


{
  "formula": "Ac4Cd3Rh",
  "functional": "PBE",
  "state": "optimized geometry",
  "lattice": [[-1.722, 3.293, 1.251], [-1.987, 0.242, -3.372], [-12.218, -8.885, 6.564]],
  "species": ["Ac", "Ac", "Ac", "Ac", "Rh", "Cd", "Cd", "Cd"],
  "frac_coords": [[0.000, 0.000, 0.106], [0.000, 0.000, 0.894], [0.000, 0.000, 0.629], [0.000, 0.000, 0.371], [0.500, 0.500, 0.000], [0.500, 0.500, 0.758], [0.500, 0.500, 0.242], [0.500, 0.500, 0.500]],
  "mass_density_g_cm3": 8.839,
  "n_ef_per_ev_cell": 6.46,
  "total_energy_ev_per_atom": -3.671,
  "vol_a3_per_fu": 253.3,
  "sg": "P4/mmm",
  "ef_mev_per_atom": -354
}


{
  "formula": "SrTl3Cr",
  "functional": "PBE",
  "state": "optimized geometry",
  "lattice": [[-2.835, -0.109, 4.442], [-0.787, -5.174, -0.629], [4.373, -1.002, 2.766]],
  "species": ["Tl", "Tl", "Sr", "Tl", "Cr"],
  "frac_coords": [[0.500, 0.000, 0.000], [0.000, 0.000, 0.500], [0.500, 0.500, 0.500], [0.000, 0.500, 0.000], [0.000, 0.000, 0.000]],
  "mass_density_g_cm3": 8.535,
  "n_ef_per_ev_cell": 3.38,
  "relative_energy_mev_per_atom": 0.0,
  "total_energy_ev_per_atom": -3.534,
  "vol_a3_per_fu": 146.4,
  "sg": "Pm-3m",
  "ef_mev_per_atom": 147
}


Number 4 is which compound? SrTl3Cr